(1)
Below is a relaxed structure of AlAs2F, with properties calculated at the PBE level.

Structure (CIF):
```
data_AlAs2F
_chemical_formula_sum 'Al4 As8 F4'
_symmetry_space_group_name_H-M 'I -4 2 d'
_symmetry_Int_Tables_number 122
_symmetry_space_group_name_Hall 'I -4 2bw'
_cell_length_a 3.766
_cell_length_b 3.766
_cell_length_c 19.779
_cell_angle_alpha 90.00
_cell_angle_beta 90.00
_cell_angle_gamma 90.00
loop_
_atom_site_label
_atom_site_type_symbol
_atom_site_fract_x
_atom_site_fract_y
_atom_site_fract_z
Al1 Al 0.000 0.000 0.000
As1 As 0.226 0.250 0.625
F1 F 0.000 0.000 0.500
```

Output
- total DFT energy (no corrections) (eV/cell) = -66.4
- energy relative to the elements, uncorrected (eV per atom) = -0.421
- total moment (μB per cell) = 0.00

(2)
Below is a relaxed structure of Al3AsF, with properties calculated at the PBE level.

Structure (CIF):
```
data_Al3AsF
_chemical_formula_sum 'Al3 As1 F1'
_symmetry_space_group_name_H-M 'P m -3 m'
_symmetry_Int_Tables_number 221
_symmetry_space_group_name_Hall '-P 4 2 3'
_cell_length_a 5.026
_cell_length_b 5.026
_cell_length_c 5.026
_cell_angle_alpha 90.00
_cell_angle_beta 90.00
_cell_angle_gamma 90.00
loop_
_atom_site_label
_atom_site_type_symbol
_atom_site_fract_x
_atom_site_fract_y
_atom_site_fract_z
Al1 Al 0.000 0.000 0.500
As1 As 0.000 0.000 0.000
F1 F 0.500 0.500 0.500
```

Output
- total DFT energy (no corrections) (eV/cell) = -16.1
- energy relative to the elements, uncorrected (eV per atom) = 0.322
- total moment (μB per cell) = 0.00

(3)
Below is a relaxed structure of AlAsF3, with properties calculated at the PBE level.

Structure (CIF):
```
data_AlAsF3
_chemical_formula_sum 'Al1 As1 F3'
_symmetry_space_group_name_H-M 'P m -3 m'
_symmetry_Int_Tables_number 221
_symmetry_space_group_name_Hall '-P 4 2 3'
_cell_length_a 3.992
_cell_length_b 3.992
_cell_length_c 3.992
_cell_angle_alpha 90.00
_cell_angle_beta 90.00
_cell_angle_gamma 90.00
loop_
_atom_site_label
_atom_site_type_symbol
_atom_site_fract_x
_atom_site_fract_y
_atom_site_fract_z
Al1 Al 0.000 0.000 0.000
As1 As 0.500 0.500 0.500
F1 F 0.000 0.000 0.500
```

Output
- total DFT energy (no corrections) (eV/cell) = -22.2
- energy relative to the elements, uncorrected (eV per atom) = -1.632
- total moment (μB per cell) = 1.28

(4)
Below is a relaxed structure of AlAs2F, with properties calculated at the PBE level.

Structure (CIF):
```
data_AlAs2F
_chemical_formula_sum 'Al4 As8 F4'
_symmetry_space_group_name_H-M 'F m -3 m'
_symmetry_Int_Tables_number 225
_symmetry_space_group_name_Hall '-F 4 2 3'
_cell_length_a 6.295
_cell_length_b 6.295
_cell_length_c 6.295
_cell_angle_alpha 90.00
_cell_angle_beta 90.00
_cell_angle_gamma 90.00
loop_
_atom_site_label
_atom_site_type_symbol
_atom_site_fract_x
_atom_site_fract_y
_atom_site_fract_z
Al1 Al 0.000 0.000 0.000
As1 As 0.250 0.250 0.250
F1 F 0.000 0.000 0.500
```

Output
- total DFT energy (no corrections) (eV/cell) = -66.1
- energy relative to the elements, uncorrected (eV per atom) = -0.404
- total moment (μB per cell) = 0.00

(5)
Below is a relaxed structure of AlAs3F, with properties calculated at the PBE level.

Structure (CIF):
```
data_AlAs3F
_chemical_formula_sum 'Al1 As3 F1'
_symmetry_space_group_name_H-M 'P m -3 m'
_symmetry_Int_Tables_number 221
_symmetry_space_group_name_Hall '-P 4 2 3'
_cell_length_a 4.555
_cell_length_b 4.555
_cell_length_c 4.555
_cell_angle_alpha 90.00
_cell_angle_beta 90.00
_cell_angle_gamma 90.00
loop_
_atom_site_label
_atom_site_type_symbol
_atom_site_fract_x
_atom_site_fract_y
_atom_site_fract_z
Al1 Al 0.000 0.000 0.000
As1 As 0.000 0.500 0.500
F1 F 0.500 0.500 0.500
```

Output
- total DFT energy (no corrections) (eV/cell) = -18.0
- energy relative to the elements, uncorrected (eV per atom) = 0.322
- total moment (μB per cell) = 0.00

(6)
Below is a relaxed structure of Al2AsF, with properties calculated at the PBE level.

Structure (CIF):
```
data_Al2AsF
_chemical_formula_sum 'Al8 As4 F4'
_symmetry_space_group_name_H-M 'F m -3 m'
_symmetry_Int_Tables_number 225
_symmetry_space_group_name_Hall '-F 4 2 3'
_cell_length_a 6.323
_cell_length_b 6.323
_cell_length_c 6.323
_cell_angle_alpha 90.00
_cell_angle_beta 90.00
_cell_angle_gamma 90.00
loop_
_atom_site_label
_atom_site_type_symbol
_atom_site_fract_x
_atom_site_fract_y
_atom_site_fract_z
Al1 Al 0.250 0.250 0.250
As1 As 0.000 0.000 0.000
F1 F 0.000 0.000 0.500
```

Output
- total DFT energy (no corrections) (eV/cell) = -66.6
- energy relative to the elements, uncorrected (eV per atom) = -0.660
- total moment (μB per cell) = 0.00